# Dy2TcW | the Alexandria database | PBE-GGA | optimized geometry
data_Dy2TcW
_chemical_formula_sum 'Dy6 Tc3 W3'
_cell_length_a 3.1174
_cell_length_b 3.1174
_cell_length_c 30.4976
_cell_angle_alpha 90.00
_cell_angle_beta 90.00
_cell_angle_gamma 120.00
_space_group_name_H-M_alt 'R -3 m'
_space_group_IT_number 166
_space_group_name_Hall '-R 3 2"'
loop_
_atom_site_label
_atom_site_fract_x
_atom_site_fract_y
_atom_site_fract_z
Dy1 0.0000 0.0000 0.0950
Tc1 0.0000 0.0000 0.5000
W1 0.0000 0.0000 0.0000
# Total energy, eV/cell: -86.98
# Crystal system: trigonal